(1)
Material: Pm2NdHoEr5
Method: DFT, GGA-PBE
State: optimized geometry

```
18
Lattice="-3.528 -6.032 -5.198 1.491 -6.085 6.049 -5.858 7.431 2.649" Properties=species:S:1:pos:R:3 pbc="T T T"
Er -3.654 1.469 5.009
Er -1.018 -6.058 0.426
Er -1.569 -5.209 4.047
Er -4.242 -6.155 -1.508
Er -5.298 -2.036 2.895
Er -4.682 4.027 1.567
Er -6.326 0.523 -0.546
Er -3.213 -8.713 1.934
Er -2.597 -2.651 0.605
Er 0.000 0.000 0.000
Ho -2.693 -2.356 4.562
Ho -5.202 -2.330 -1.061
Pm -2.200 -9.080 -0.867
Pm -2.000 -4.423 -2.500
Pm -0.037 -7.694 3.352
Pm 0.163 -3.036 1.719
Nd -4.457 -5.372 1.963
Nd -3.438 0.686 1.537
```

Formation energy (meV/atom): 267


(2)
Material: HfMoAu
Method: DFT, GGA-PBE
State: optimized geometry

```
6
Lattice="3.221 0.000 0.000 1.611 2.790 0.000 1.611 0.930 12.832" Properties=species:S:1:pos:R:3 pbc="T T T"
Mo 4.832 2.790 11.915
Mo 1.611 0.930 0.917
Au 1.611 0.930 7.586
Au 4.832 2.790 5.247
Hf 3.221 1.860 3.085
Hf 3.221 1.860 9.747
```

Formation energy (meV/atom): -24


(3)
Material: Cs4NaH2
Method: DFT, GGA-PBE
State: optimized geometry

```
7
Lattice="-4.451 1.595 5.459 3.388 -4.825 4.172 5.238 4.868 7.626" Properties=species:S:1:pos:R:3 pbc="T T T"
H 0.517 -0.436 5.327
H 3.658 2.074 11.931
Cs 1.920 0.122 11.085
Cs 1.694 -2.412 2.086
Cs -2.226 0.797 2.730
Cs 2.255 1.515 6.173
Na 0.000 0.000 0.000
```


(4)
Material: Nd3NiP2Rh9
Method: DFT, GGA-PBE
State: optimized geometry

```
15
Lattice="-5.592 2.125 1.375 3.128 -3.303 4.122 3.458 7.110 3.074" Properties=species:S:1:pos:R:3 pbc="T T T"
Rh -2.796 1.063 0.688
Rh 1.205 5.172 3.230
Rh 2.800 -0.384 4.600
Rh -1.232 -0.589 2.749
Rh -1.806 6.317 3.971
Rh -0.122 4.538 6.191
Rh -0.212 0.760 5.341
Rh 1.564 -1.652 2.061
Rh 1.116 1.395 2.381
P 0.803 -0.297 3.724
P 0.190 6.229 4.847
Ni 1.729 3.555 1.537
Nd 2.456 3.101 5.193
Nd 0.000 0.000 0.000
Nd -1.462 2.832 3.379
```

Formation energy (meV/atom): -519


(5)
Material: KRbSe2
Method: DFT, GGA-PBE
State: optimized geometry

```
4
Lattice="5.332 0.000 0.000 0.000 6.399 -0.026 0.000 -1.538 6.211" Properties=species:S:1:pos:R:3 pbc="T T T"
Rb 2.666 1.878 3.527
K 0.000 5.427 0.737
Se 2.666 3.551 0.664
Se 2.666 5.055 2.578
```

Raw formation energy (meV/atom): -783
Energy relative to the lowest polymorph listed for this composition (kJ/mol of atoms): 8.50


(6)
Material: Li2CrBr
Method: DFT, GGA-PBE
State: optimized geometry

```
4
Lattice="-0.291 4.019 6.655 3.158 0.602 7.084 0.148 -0.678 -7.749" Properties=species:S:1:pos:R:3 pbc="T T T"
Li 0.459 2.525 1.994
Li 2.784 4.488 13.344
Br 1.553 2.502 7.441
Cr 2.520 1.359 3.821
```

Raw formation energy (meV/atom): -86
Energy relative to the lowest polymorph listed for this composition (kJ/mol of atoms): 4.50


Here are the calculated E numbers, same order: -0.3206, -0.5912, -0.1046, -0.5138, -0.2235, -0.2842 (Ry/atom).